GGA-PBE SmEr2Cd, relaxed; formation energy from the elements = -0.147 eV per atom; volume = 117 Å³/f.u.; space group = Immm; ΔE to the lowest computed polymorph = 0.002 eV per atom; D(E_F) = 1.06 states/eV/atom; raw total energy = -3.8367 eV per atom
1.0
-1.8860 2.7247 5.6847
1.8860 -2.7247 5.6847
1.8860 2.7247 -5.6847
Sm Er Cd
1 2 1
Direct
0.0000 0.0000 0.0000
0.2754 0.7754 0.5000
0.7246 0.2246 0.5000
0.5000 0.5000 0.0000

---

GGA-PBE SmEr2Cd, relaxed; formation energy from the elements = -0.078 eV per atom; volume = 118 Å³/f.u.; space group = R-3m; ΔE to the lowest computed polymorph = 0.071 eV per atom; D(E_F) = 1.02 states/eV/atom; raw total energy = -3.7680 eV per atom
1.0
1.7835 1.0297 10.7486
-1.7835 1.0297 10.7486
0.0000 -2.0595 10.7486
Sm Er Cd
1 2 1
Direct
0.0000 0.0000 0.0000
0.2437 0.2437 0.2437
0.7563 0.7563 0.7563
0.5000 0.5000 0.5000

---

GGA-PBE Sm6Er3Cd, relaxed; formation energy from the elements = -0.019 eV per atom; volume = 315 Å³/f.u.; space group = P2_1/m; D(E_F) = 1.41 states/eV/atom; raw total energy = -4.3108 eV per atom
1.0
11.0735 0.0000 0.0000
0.0000 5.0535 0.0000
-0.2900 0.0000 11.2742
Sm Er Cd
12 6 2
Direct
0.0469 0.2500 0.3956
0.1420 0.7500 0.1868
0.1528 0.2500 0.6920
0.2400 0.2500 0.9953
0.3470 0.7500 0.7988
0.4494 0.2500 0.6022
0.5506 0.7500 0.3978
0.6530 0.2500 0.2012
0.7600 0.7500 0.0047
0.8472 0.7500 0.3080
0.8580 0.2500 0.8132
0.9531 0.7500 0.6044
0.2484 0.7500 0.4926
0.3485 0.2500 0.2936
0.4494 0.7500 0.0994
0.5506 0.2500 0.9006
0.6515 0.7500 0.7064
0.7516 0.2500 0.5074
0.0500 0.7500 0.8970
0.9500 0.2500 0.1030

---

GGA-PBE SmErCd17, relaxed; formation energy from the elements = -0.112 eV per atom; volume = 438 Å³/f.u.; space group = R3m; D(E_F) = 0.30 states/eV/atom; raw total energy = -1.4192 eV per atom
1.0
5.0254 2.9014 5.0066
-5.0254 2.9014 5.0066
0.0000 -5.8029 5.0066
Sm Er Cd
1 1 17
Direct
0.0000 0.0000 0.0000
0.6539 0.6539 0.6539
0.0248 0.3330 0.6330
0.0248 0.6330 0.3330
0.2100 0.6745 0.6745
0.2397 0.2397 0.2397
0.3058 0.3058 0.8583
0.3058 0.8583 0.3058
0.3330 0.0248 0.6330
0.3330 0.6330 0.0248
0.4342 0.4342 0.4342
0.5471 0.9499 0.9499
0.6330 0.0248 0.3330
0.6330 0.3330 0.0248
0.6745 0.2100 0.6745
0.6745 0.6745 0.2100
0.8583 0.3058 0.3058
0.9499 0.5471 0.9499
0.9499 0.9499 0.5471

---

Which value of volume does entry 1 give? 117 Å³/f.u.